## CoGeP2O (PBE+U)

Data for a relaxed structure of CoGeP2O.

Computed properties:
Density of states at the Fermi level (states/eV per cell): 2.9
E above lowest polymorph (meV per atom): 272

Lattice parameters (Å, degrees): 4.898 4.898 3.500 90.00 90.00 90.00
Sites, in units of the cell vectors:
Co 0.000 0.000 0.000
Ge 0.500 0.500 0.500
P 0.000 0.500 0.500
P 0.500 0.000 0.500
O 0.500 0.500 0.000